Entry 1:
Crystalline Ta2HgW at its relaxed geometry, computed with PBE.

Cell: 2.817 2.817 9.231 Å, 90.00 90.00 90.00°
Space group P4/mmm (No. 123)
Unique sites:
Ta (0.000, 0.000, 0.243) x2
Hg (0.500, 0.500, 0.500) x1
W (0.500, 0.500, 0.000) x1

Calculated values
Its total energy is -8.90 eV/atom. For the formation energy, the calculation gives 0.3387 eV per atom. The value obtained for the total magnetization is 0.00 μB per cell.

---

Entry 2:
Crystalline Er6MgNi at its relaxed geometry, computed with PBE.

Cell: 6.882 6.888 7.080 Å, 90.09 118.98 119.92°
Space group P-1 (No. 2)
Unique sites:
Er (0.054, 0.078, 0.259) x2
Er (0.283, 0.705, 0.259) x2
Er (0.317, 0.523, 0.741) x2
Mg (0.500, 0.000, 0.000) x1
Ni (0.500, 0.500, 0.500) x1

Calculated values
Its total energy is -4.20 eV/atom. For the formation energy, the calculation gives 0.1479 eV per atom. The value obtained for the total magnetization is 0.00 μB per cell.

---

Entry 3:
Crystalline Be11CuTc at its relaxed geometry, computed with PBE.

Cell: 4.250 10.243 5.604 Å, 90.00 112.23 90.00°
Space group C2/m (No. 12)
Unique sites:
Be (0.000, 0.000, 0.000) x2
Be (0.107, 0.394, 0.703) x8
Be (0.164, 0.177, 0.843) x8
Be (0.250, 0.250, 0.500) x4
Cu (0.000, 0.500, 0.000) x2
Tc (0.000, 0.000, 0.500) x2

Calculated values
Its total energy is -4.39 eV/atom. For the formation energy, the calculation gives -0.1243 eV per atom. The value obtained for the total magnetization is 0.00 μB per cell.

---

Entry 4:
Crystalline SmGdInPt at its relaxed geometry, computed with PBE.

Cell: 7.368 7.368 7.368 Å, 90.00 90.00 90.00°
Space group F-43m (No. 216)
Unique sites:
Sm (0.000, 0.000, 0.000) x4
Gd (0.000, 0.000, 0.500) x4
In (0.250, 0.250, 0.250) x4
Pt (0.250, 0.250, 0.750) x4

Calculated values
Its total energy is -7.60 eV/atom. For the formation energy, the calculation gives -0.7029 eV per atom. The value obtained for the total magnetization is 28.40 μB per cell.

---

What did the second record say?
Crystalline Er6MgNi at its relaxed geometry, computed with PBE.

Cell: 6.882 6.888 7.080 Å, 90.09 118.98 119.92°
Space group P-1 (No. 2)
Unique sites:
Er (0.054, 0.078, 0.259) x2
Er (0.283, 0.705, 0.259) x2
Er (0.317, 0.523, 0.741) x2
Mg (0.500, 0.000, 0.000) x1
Ni (0.500, 0.500, 0.500) x1

Calculated values
Its total energy is -4.20 eV/atom. For the formation energy, the calculation gives 0.1479 eV per atom. The value obtained for the total magnetization is 0.00 μB per cell.

---

What did the fourth record say?
Crystalline SmGdInPt at its relaxed geometry, computed with PBE.

Cell: 7.368 7.368 7.368 Å, 90.00 90.00 90.00°
Space group F-43m (No. 216)
Unique sites:
Sm (0.000, 0.000, 0.000) x4
Gd (0.000, 0.000, 0.500) x4
In (0.250, 0.250, 0.250) x4
Pt (0.250, 0.250, 0.750) x4

Calculated values
Its total energy is -7.60 eV/atom. For the formation energy, the calculation gives -0.7029 eV per atom. The value obtained for the total magnetization is 28.40 μB per cell.

---

Question: What is the formula in the fourth record?
Answer: SmGdInPt